Record 1
A plane-wave DFT calculation with GGA-PBE was carried out for a relaxed structure of La3PaS7.

Output
**ΔE_f (raw)**: -1992 meV per atom
**Uncorrected energy**: -75.08 eV per formula unit

Cell lengths 8.173, 8.173, 9.671 Å; angles 90.00, 90.00, 110.61 degrees
Positions (direct):
La (0.001, 0.001, 0.000)
La (0.042, 0.499, 0.250)
La (0.499, 0.042, 0.750)
La (0.501, 0.958, 0.250)
La (0.958, 0.501, 0.750)
La (0.999, 0.999, 0.500)
Pa (0.500, 0.500, 0.000)
Pa (0.500, 0.500, 0.500)
S (0.128, 0.872, 0.750)
S (0.134, 0.866, 0.250)
S (0.162, 0.414, 0.529)
S (0.162, 0.414, 0.971)
S (0.414, 0.162, 0.029)
S (0.414, 0.162, 0.471)
S (0.420, 0.580, 0.250)
S (0.580, 0.420, 0.750)
S (0.586, 0.838, 0.529)
S (0.586, 0.838, 0.971)
S (0.838, 0.586, 0.029)
S (0.838, 0.586, 0.471)
S (0.866, 0.134, 0.750)
S (0.872, 0.128, 0.250)

Record 2
A plane-wave DFT calculation with GGA-PBE was carried out for a relaxed structure of BePdS.

Output
**ΔE_f (raw)**: -445 meV per atom
**Uncorrected energy**: -14.38 eV per formula unit
**N(E_F)**: 0.0000 states/eV/atom

Cell lengths 3.444, 4.568, 6.017 Å; angles 73.70, 89.99, 89.90 degrees
Positions (direct):
Be (0.000, 0.000, 0.000)
Be (0.483, 0.999, 0.500)
Pd (0.162, 0.390, 0.650)
Pd (0.322, 0.389, 0.149)
S (0.505, 0.873, 0.195)
S (0.978, 0.875, 0.695)